1.
Density functional theory data (PBE) for Tl2AsCl after structural relaxation.

Summary:
raw formation energy	14	meV/atom
ΔE to the lowest computed polymorph	347.5	meV/atom
crystal system	cubic
SG	F-43m

a b c (Å): 5.2947 5.2947 5.2947
angles (deg): 60.00 60.00 60.00
Element x y z (fractional)
As1 0.5000 0.5000 0.5000
Tl1 0.0000 0.0000 0.0000
Cl1 0.7500 0.7500 0.7500
Tl2 0.2500 0.2500 0.2500

***

2.
Density functional theory data (PBE) for La2NdDyHo after structural relaxation.

Summary:
energy relative to the elements	330.9	meV per atom
crystal system	orthorhombic
SG	Cmcm

a b c (Å): 6.9020 11.1717 7.3342
angles (deg): 139.61 90.00 90.00
Element x y z (fractional)
La1 0.0000 0.2493 0.0000
Ho1 0.2500 0.9125 0.8250
Nd1 0.7500 0.3994 0.7988
La2 0.5000 0.7507 0.0000
Dy1 0.7500 0.7517 0.5034
Dy2 0.2500 0.2483 0.4966
Nd2 0.2500 0.6006 0.2012
La3 0.0000 0.7507 0.0000
La4 0.5000 0.2493 0.0000
Ho2 0.7500 0.0875 0.1750

***

DOS(E_F) list, top to bottom, in states/eV/cell: 3.1, 15.4